# Nd3LuC | the Alexandria database | PBE | relaxed
data_Nd3LuC
_chemical_formula_sum 'Nd3 Lu1 C1'
_symmetry_space_group_name_H-M 'P m -3 m'
_symmetry_Int_Tables_number 221
_symmetry_space_group_name_Hall '-P 4 2 3'
_cell_length_a 5.219
_cell_length_b 5.219
_cell_length_c 5.219
_cell_angle_alpha 90.00
_cell_angle_beta 90.00
_cell_angle_gamma 90.00
loop_
_atom_site_label
_atom_site_fract_x
_atom_site_fract_y
_atom_site_fract_z
Nd1 0.000 0.000 0.500
Lu1 0.500 0.500 0.500
C1 0.000 0.000 0.000
# ρ   7.24 g cm⁻³
# Energy relative to the elements   0.0957 eV/atom

***

# Tm5PuPb4 | the Alexandria database | PBE | relaxed
data_Tm5PuPb4
_chemical_formula_sum 'Tm10 Pu2 Pb8'
_symmetry_space_group_name_H-M 'C 1 2/m 1'
_symmetry_Int_Tables_number 12
_cell_length_a 17.574
_cell_length_b 5.074
_cell_length_c 6.445
_cell_angle_alpha 90.00
_cell_angle_beta 94.83
_cell_angle_gamma 90.00
loop_
_symmetry_equiv_pos_as_xyz
'x,y,z'
'-x,-y,-z'
'-x,y,-z'
'x,-y,z'
'x+1/2,y+1/2,z'
'-x+1/2,-y+1/2,-z'
'-x+1/2,y+1/2,-z'
'x+1/2,-y+1/2,z'
loop_
_atom_site_label
_atom_site_fract_x
_atom_site_fract_y
_atom_site_fract_z
Tm1 0.000 0.000 0.000
Tm2 0.108 0.500 0.301
Tm3 0.190 0.000 0.784
Pu1 0.000 0.000 0.500
Pb1 0.077 0.500 0.784
Pb2 0.199 0.000 0.279
# ρ   11.12 g cm⁻³
# Energy relative to the elements   -0.3470 eV/atom

***

# TbPrYAl | the Alexandria database | PBE | relaxed
data_TbPrYAl
_chemical_formula_sum 'Tb1 Pr1 Y1 Al1'
_symmetry_space_group_name_H-M 'P 4 m m'
_symmetry_Int_Tables_number 99
_cell_length_a 3.557
_cell_length_b 3.557
_cell_length_c 9.166
_cell_angle_alpha 90.00
_cell_angle_beta 90.00
_cell_angle_gamma 90.00
loop_
_symmetry_equiv_pos_as_xyz
'x,y,z'
'-y,x,z'
'-x,-y,z'
'y,-x,z'
'-x,y,z'
'y,x,z'
'x,-y,z'
'-y,-x,z'
loop_
_atom_site_label
_atom_site_fract_x
_atom_site_fract_y
_atom_site_fract_z
Tb1 0.000 0.000 0.000
Pr1 0.500 0.500 0.708
Y1 0.000 0.000 0.415
Al1 0.500 0.500 0.208
# Energy above the most stable polymorph in this dataset   0.0000 eV per atom
# ρ   5.95 g cm⁻³
# Energy relative to the elements   -0.1983 eV/atom

***

- Among the records above, which one has the highest ρ?
  Tm5PuPb4